1.
Density functional theory data (GGA-PBE) for an optimized crystal structure of Er2ThAgC.

```
data_Er2ThAgC
_chemical_formula_sum 'Er2 Th1 Ag1 C1'
_cell_length_a 4.835
_cell_length_b 4.835
_cell_length_c 5.078
_cell_angle_alpha 90.00
_cell_angle_beta 90.00
_cell_angle_gamma 90.00
_space_group_name_H-M_alt 'P 1'
_space_group_IT_number 1
_space_group_name_Hall 'P 1'
loop_
_atom_site_label
_atom_site_type_symbol
_atom_site_fract_x
_atom_site_fract_y
_atom_site_fract_z
Er1 Er 0.000 0.500 0.000
Er2 Er 0.500 0.000 0.000
Th1 Th 0.000 0.000 0.500
Ag1 Ag 0.500 0.500 0.500
C1 C 0.000 0.000 0.000
```

Summary:
space-group type = P4/mmm
crystal system = tetragonal
formation energy from the elements = -1.0 eV/f.u.


2.
Density functional theory data (GGA-PBE) for an optimized crystal structure of Y2ErAgC.

```
data_Y2ErAgC
_chemical_formula_sum 'Y2 Er1 Ag1 C1'
_cell_length_a 4.922
_cell_length_b 4.922
_cell_length_c 4.822
_cell_angle_alpha 90.00
_cell_angle_beta 90.00
_cell_angle_gamma 90.00
_space_group_name_H-M_alt 'P 1'
_space_group_IT_number 1
_space_group_name_Hall 'P 1'
loop_
_atom_site_label
_atom_site_type_symbol
_atom_site_fract_x
_atom_site_fract_y
_atom_site_fract_z
Y1 Y 0.000 0.500 0.000
Y2 Y 0.500 0.000 0.000
Er1 Er 0.000 0.000 0.500
Ag1 Ag 0.500 0.500 0.500
C1 C 0.000 0.000 0.000
```

Summary:
space-group type = P4/mmm
crystal system = tetragonal
formation energy from the elements = -1.2 eV/f.u.


3.
Density functional theory data (GGA-PBE) for an optimized crystal structure of AgCF3.

```
data_AgCF3
_chemical_formula_sum 'Ag1 C1 F3'
_cell_length_a 4.252
_cell_length_b 4.252
_cell_length_c 4.252
_cell_angle_alpha 90.00
_cell_angle_beta 90.00
_cell_angle_gamma 90.00
_space_group_name_H-M_alt 'P 1'
_space_group_IT_number 1
_space_group_name_Hall 'P 1'
loop_
_atom_site_label
_atom_site_type_symbol
_atom_site_fract_x
_atom_site_fract_y
_atom_site_fract_z
C1 C 0.500 0.500 0.500
Ag1 Ag 0.000 0.000 0.000
F1 F 0.000 0.500 0.000
F2 F 0.000 0.000 0.500
F3 F 0.500 0.000 0.000
```

Summary:
space-group type = Pm-3m
crystal system = cubic
formation energy without anion corrections = 0.593 eV/atom